1.
Material: CsIn2As
Method: DFT, GGA-PBE
State: relaxed

```
CsIn2As
1.0
3.824 0.000 0.000
0.000 3.824 0.000
0.000 0.000 8.850
Cs In As
1 2 1
Cartesian
0.000 0.000 0.000
1.912 1.912 2.882
1.912 1.912 5.968
0.000 0.000 4.425
```

Results
energy of formation from the pure elements	-0.096	eV/atom
calculated volume	129.44	Å³/cell
total DFT energy (no corrections)	-2.841	eV per atom
DOS at the Fermi energy	1.36	states/eV per cell
symmetry	No. 123

---

2.
Material: MgAsRh2Cl
Method: DFT, GGA-PBE
State: relaxed

```
MgAsRh2Cl
1.0
4.541 0.000 0.000
0.000 4.541 0.000
0.000 0.000 5.256
Mg As Rh Cl
1 1 2 1
Cartesian
0.000 0.000 0.000
2.270 2.270 2.628
0.000 2.270 2.628
2.270 0.000 2.628
2.270 2.270 0.000
```

Results
calculated volume	108.37	Å³/cell
formation energy from raw total energies	64	kJ/mol of formula units
total DFT energy (no corrections)	-4.426	eV per atom
DOS at the Fermi energy	0.93	states/eV per cell
symmetry	No. 123

---

3.
Material: Cr6NiC
Method: DFT, GGA-PBE
State: relaxed

```
Cr6NiC
1.0
5.075 0.000 0.000
-2.525 4.403 0.000
-2.531 -1.471 4.156
Cr Ni C
6 1 1
Cartesian
-0.468 1.027 0.211
-1.153 0.083 2.879
-1.623 2.582 2.045
1.641 0.351 2.111
1.171 2.849 1.277
0.486 1.905 3.945
2.537 0.000 0.000
0.009 1.466 2.078
```

Results
energy of formation from the pure elements	0.438	eV/atom
calculated volume	92.86	Å³/cell
total DFT energy (no corrections)	-8.655	eV per atom
DOS at the Fermi energy	8.93	states/eV per cell
symmetry	No. 2